Material: SrZrSi2
Method: DFT, PBE
State: relaxed

Output
* energy relative to the elements, uncorrected: 85 meV per atom
* space-group type: No. 122

Lattice parameters (Å, degrees): 5.154 5.154 17.892 90.00 90.00 90.00
Atoms (fractional coordinates):
Sr: 0.000 0.000 0.000
Sr: 0.000 0.500 0.250
Sr: 0.500 0.000 0.750
Sr: 0.500 0.500 0.500
Zr: 0.000 0.000 0.500
Zr: 0.000 0.500 0.750
Zr: 0.500 0.000 0.250
Zr: 0.500 0.500 0.000
Si: 0.070 0.250 0.625
Si: 0.250 0.570 0.875
Si: 0.250 0.930 0.375
Si: 0.430 0.250 0.125
Si: 0.570 0.750 0.125
Si: 0.750 0.070 0.375
Si: 0.750 0.430 0.875
Si: 0.930 0.750 0.625

Material: TmMgGe2
Method: DFT, PBE
State: relaxed

Output
* ΔE_f: -0.3606 eV per atom
* space-group type: No. 166

Lattice parameters (Å, degrees): 4.503 4.503 14.506 90.00 90.00 120.00
Atoms (fractional coordinates):
Tm: 0.000 0.000 0.000
Tm: 0.333 0.667 0.667
Tm: 0.667 0.333 0.333
Mg: 0.000 0.000 0.500
Mg: 0.333 0.667 0.167
Mg: 0.667 0.333 0.833
Ge: 0.000 0.000 0.242
Ge: 0.000 0.000 0.758
Ge: 0.333 0.667 0.425
Ge: 0.333 0.667 0.908
Ge: 0.667 0.333 0.092
Ge: 0.667 0.333 0.575

Computed magnetization (μB per formula unit) in order:
0.000 0.000
Computed polymorph energy (0 for the lowest one) (eV per atom) in order:
0.5140 0.0906